LaCrWO6: optimized geometry, GGA-PBEsol.

For the total magnetization, the calculation gives 0.329 μB/atom. The formation energy without anion corrections is -2.49 eV/atom. Its density of states at the Fermi level is 2.312 states/eV/cell.

Cell: 5.386 5.394 5.397 Å, 119.80 90.27 119.80°
Positions (direct):
La1 0.000 0.000 0.000
Cr1 0.252 0.505 0.756
W1 0.750 0.504 0.255
O1 0.004 0.451 0.448
O2 0.020 0.002 0.538
O3 0.480 0.006 0.981
O4 0.498 0.548 0.055
O5 0.530 0.502 0.533
O6 0.979 0.520 0.986


LaCrOs2: optimized geometry, GGA-PBEsol.

For the total magnetization, the calculation gives 0.000 μB/atom. For the formation energy, the calculation gives 1.962 eV/f.u. Its density of states at the Fermi level is 4.436 states/eV/cell.

Cell: 2.791 3.650 6.947 Å, 90.00 90.00 90.00°
Positions (direct):
La1 0.000 0.000 0.000
Cr1 0.500 0.500 0.653
Os1 0.000 0.000 0.507
Os2 0.500 0.500 0.306


LaCr2Os: optimized geometry, GGA-PBEsol.

For the total magnetization, the calculation gives 0.030 μB/atom. For the formation energy, the calculation gives 2.648 eV/f.u. Its density of states at the Fermi level is 3.945 states/eV/cell.

Cell: 4.561 4.561 4.561 Å, 60.00 60.00 60.00°
Positions (direct):
La1 0.000 0.000 0.000
Cr1 0.500 0.500 0.500
Cr2 0.750 0.750 0.750
Os1 0.250 0.250 0.250


La2CrOs: optimized geometry, GGA-PBEsol.

For the total magnetization, the calculation gives 0.000 μB/atom. For the formation energy, the calculation gives 1.309 eV/f.u. Its density of states at the Fermi level is 5.095 states/eV/cell.

Cell: 3.075 3.822 8.025 Å, 90.00 95.90 90.00°
Positions (direct):
La1 0.000 0.000 0.000
La2 0.255 0.500 0.589
Cr1 0.825 0.000 0.340
Os1 0.464 0.500 0.244